{
  "formula": "TmSc3Se2",
  "functional": "GGA-PBE",
  "state": "optimized geometry",
  "lattice": [[7.510, -1.875, 0.000], [7.510, 1.875, 0.000], [-3.358, 0.000, 9.539]],
  "species": ["Tm", "Tm", "Sc", "Sc", "Sc", "Sc", "Sc", "Sc", "Se", "Se", "Se", "Se"],
  "frac_coords": [[0.122, 0.122, 0.040], [0.878, 0.878, 0.960], [0.060, 0.060, 0.404], [0.282, 0.282, 0.623], [0.375, 0.375, 0.325], [0.625, 0.625, 0.675], [0.718, 0.718, 0.377], [0.940, 0.940, 0.596], [0.231, 0.231, 0.854], [0.484, 0.484, 0.827], [0.516, 0.516, 0.173], [0.769, 0.769, 0.146]],
  "raw_formation_energy_ev_per_atom": -1.02,
  "vol_a3_per_atom": 22.39,
  "rho_g_cm3": 5.7
}


{
  "formula": "Nd13Er3",
  "functional": "GGA-PBE",
  "state": "optimized geometry",
  "lattice": [[7.373, 0.000, 0.000], [0.000, 5.892, 6.382], [0.000, -5.892, 6.382]],
  "species": ["Nd", "Nd", "Nd", "Nd", "Nd", "Nd", "Nd", "Nd", "Nd", "Nd", "Nd", "Nd", "Nd", "Er", "Er", "Er"],
  "frac_coords": [[0.000, 0.000, 0.000], [0.000, 0.423, 0.915], [0.000, 0.502, 0.502], [0.000, 0.915, 0.423], [0.250, 0.250, 0.250], [0.252, 0.165, 0.672], [0.252, 0.672, 0.165], [0.500, 0.420, 0.916], [0.500, 0.503, 0.503], [0.500, 0.916, 0.420], [0.748, 0.165, 0.672], [0.748, 0.672, 0.165], [0.750, 0.250, 0.250], [0.251, 0.753, 0.753], [0.500, 0.999, 0.999], [0.749, 0.753, 0.753]],
  "delta_e_f_ev_per_atom": 0.0317,
  "vol_a3_per_atom": 34.65,
  "polymorph_energy_ev_per_atom": 0.018,
  "rho_g_cm3": 7.1
}


{
  "formula": "SmTaMnIr2",
  "functional": "GGA-PBE",
  "state": "optimized geometry",
  "lattice": [[-2.103, 2.103, 5.560], [2.103, -2.103, 5.560], [2.103, 2.103, -5.560]],
  "species": ["Sm", "Ta", "Mn", "Ir", "Ir"],
  "frac_coords": [[0.000, 0.000, 0.000], [0.250, 0.750, 0.500], [0.750, 0.250, 0.500], [0.385, 0.385, 0.000], [0.615, 0.615, 0.000]],
  "delta_e_f_ev_per_atom": -0.4439,
  "vol_a3_per_atom": 19.67,
  "rho_g_cm3": 13.0
}


{
  "formula": "Yb3Ti",
  "functional": "GGA-PBE",
  "state": "optimized geometry",
  "lattice": [[-2.453, 2.453, 4.845], [2.453, -2.453, 4.845], [2.453, 2.453, -4.845]],
  "species": ["Yb", "Yb", "Yb", "Ti"],
  "frac_coords": [[0.000, 0.000, 0.000], [0.250, 0.750, 0.500], [0.750, 0.250, 0.500], [0.500, 0.500, 0.000]],
  "delta_e_f_ev_per_atom": 0.1999,
  "vol_a3_per_atom": 29.16,
  "polymorph_energy_ev_per_atom": 0.000,
  "rho_g_cm3": 8.1
}


{
  "formula": "Sm11In9Ni4",
  "functional": "GGA-PBE",
  "state": "optimized geometry",
  "lattice": [[7.362, -11.032, 0.000], [7.362, 11.032, 0.000], [0.000, 0.000, 3.730]],
  "species": ["Sm", "Sm", "Sm", "Sm", "Sm", "Sm", "Sm", "Sm", "Sm", "Sm", "Sm", "In", "In", "In", "In", "In", "In", "In", "In", "In", "Ni", "Ni", "Ni", "Ni"],
  "frac_coords": [[0.000, 0.000, 0.000], [0.079, 0.417, 0.000], [0.161, 0.839, 0.000], [0.313, 0.313, 0.000], [0.374, 0.626, 0.000], [0.417, 0.079, 0.000], [0.583, 0.921, 0.000], [0.626, 0.374, 0.000], [0.687, 0.687, 0.000], [0.839, 0.161, 0.000], [0.921, 0.583, 0.000], [0.079, 0.219, 0.500], [0.160, 0.632, 0.500], [0.219, 0.079, 0.500], [0.368, 0.840, 0.500], [0.500, 0.500, 0.500], [0.632, 0.160, 0.500], [0.781, 0.921, 0.500], [0.840, 0.368, 0.500], [0.921, 0.781, 0.500], [0.247, 0.449, 0.500], [0.449, 0.247, 0.500], [0.551, 0.753, 0.500], [0.753, 0.551, 0.500]],
  "delta_e_f_ev_per_atom": -0.5038,
  "vol_a3_per_atom": 25.24,
  "rho_g_cm3": 8.0
}


{
  "formula": "HoTh2Zn4",
  "functional": "GGA-PBE",
  "state": "optimized geometry",
  "lattice": [[-2.527, 2.527, 6.784], [2.527, -2.527, 6.784], [2.527, 2.527, -6.784]],
  "species": ["Ho", "Th", "Th", "Zn", "Zn", "Zn", "Zn"],
  "frac_coords": [[0.000, 0.000, 0.000], [0.264, 0.264, 0.000], [0.736, 0.736, 0.000], [0.106, 0.606, 0.500], [0.394, 0.894, 0.500], [0.606, 0.106, 0.500], [0.894, 0.394, 0.500]],
  "delta_e_f_ev_per_atom": -0.0445,
  "vol_a3_per_atom": 24.75,
  "rho_g_cm3": 8.5
}